1.
Er8Pb4CSe3: optimized geometry, PBE.

Cell lengths 7.8205, 7.8205, 8.9745 Å; angles 116.12, 116.12, 59.80 degrees
Closest atoms and distances in Å follow each position.
Element x y z (fractional)
Er: 0.2137 0.2137 0.6912  1 C 2.51, 2 Se 2.80
Er: 0.2138 0.7648 0.6910  1 C 2.51, 2 Se 2.80
Er: 0.2352 0.7862 0.3090  1 C 2.51, 2 Se 2.80
Er: 0.2616 0.2616 0.2863  3 Se 2.79-2.80
Er: 0.7384 0.7384 0.7137  3 Se 2.79-2.80
Er: 0.7648 0.2138 0.6910  1 C 2.51, 2 Se 2.80
Er: 0.7862 0.2352 0.3090  1 C 2.51, 2 Se 2.80
Er: 0.7863 0.7863 0.3088  1 C 2.51, 2 Se 2.80
Pb: 0.0000 0.0000 0.0000  6 Er 3.15-3.22
Pb: 0.0000 0.5000 0.0000  6 Er 3.16-3.22
Pb: 0.5000 0.0000 0.0000  6 Er 3.16-3.22
Pb: 0.5000 0.5000 0.0000  6 Er 3.44-3.45
C: 0.0000 0.0000 0.5000  6 Er 2.51
Se: 0.0000 0.5000 0.5000  6 Er 2.79-2.80
Se: 0.5000 0.0000 0.5000  6 Er 2.79-2.80
Se: 0.5000 0.5000 0.5000  6 Er 2.80

Output
- Space-group type: No. 12
- Energy relative to the elements, uncorrected: -0.91 eV per atom

---

2.
Er4SiPbC: optimized geometry, PBE.

Cell lengths 8.4131, 8.4131, 6.6507 Å; angles 90.00, 90.00, 133.48 degrees
Closest atoms and distances in Å follow each position.
Element x y z (fractional)
Er: 0.0000 0.5000 0.0000  2 C 2.35
Er: 0.0000 0.5000 0.5000  2 C 2.35
Er: 0.0825 0.9175 0.7500  1 C 2.55
Er: 0.4072 0.5928 0.7500  1 C 2.47
Er: 0.5000 0.0000 0.0000  2 C 2.35
Er: 0.5000 0.0000 0.5000  2 C 2.35
Er: 0.5928 0.4072 0.2500  1 C 2.47
Er: 0.9175 0.0825 0.2500  1 C 2.55
Si: 0.1159 0.8841 0.2500  9 Er 3.07-3.37
Si: 0.8841 0.1159 0.7500  9 Er 3.07-3.37
Pb: 0.3941 0.6059 0.2500  9 Er 3.07-3.34
Pb: 0.6059 0.3941 0.7500  9 Er 3.07-3.34
C: 0.2474 0.7526 0.7500  6 Er 2.35-2.55
C: 0.7526 0.2474 0.2500  6 Er 2.35-2.55

Output
- Space-group type: No. 63
- Energy relative to the elements, uncorrected: -0.54 eV per atom

---

3.
Sm2ErPbC: optimized geometry, PBE.

Cell lengths 5.0605, 5.0605, 4.8726 Å; angles 90.00, 90.00, 90.00 degrees
Closest atoms and distances in Å follow each position.
Element x y z (fractional)
Sm: 0.0000 0.5000 0.0000  2 C 2.53
Sm: 0.5000 0.0000 0.0000  2 C 2.53
Er: 0.0000 0.0000 0.5000  2 C 2.44
Pb: 0.5000 0.5000 0.5000  8 Sm 3.51, 4 Er 3.58
C: 0.0000 0.0000 0.0000  2 Er 2.44, 4 Sm 2.53

Output
- Space-group type: No. 123
- Formation energy: -0.485 eV per atom

---

Number 1: M_tot 0.0 μB/f.u.. Number 2: M_tot 0.0 μB/f.u.. Number 3: M_tot 0.0 μB/f.u..